First-principles (PBE) data for crystalline TeP at its relaxed geometry, as listed in Alexandria via LeMat-Bulk.

Lattice parameters (Å, degrees): 6.0291 6.0291 9.0161 74.01 74.01 33.81
Element x y z (fractional)
P1 0.7066 0.7066 0.3463
P2 0.9800 0.9800 0.9250
P3 0.5152 0.5152 0.7617
Te1 0.3441 0.3441 0.6201
Te2 0.2753 0.2753 0.1254
Te3 0.0122 0.0122 0.3882

Summary:
- DOS(E_F): 2.1 states/eV per cell
- DFT total energy: -3.95 eV/atom
- Uncorrected formation energy: 0.324 eV/atom
- Volume: 29.10 Å³ per atom
- SG: Cm (8)

---

First-principles (PBE) data for crystalline Rb3CuF7 at its relaxed geometry, as listed in Alexandria via LeMat-Bulk.

Lattice parameters (Å, degrees): 6.0378 8.0802 8.0802 90.00 90.00 90.00
Site moments in Bohr magnetons follow the coordinates.
Element x y z (fractional)
Rb1 0.5000 0.3154 0.1846  0.01
Rb2 0.5000 0.8154 0.3154  0.01
Rb3 0.0000 0.0000 0.0000  0.00
Rb4 0.0000 0.5000 0.5000  0.00
Rb5 0.5000 0.6846 0.8154  0.01
Rb6 0.5000 0.1846 0.6846  0.01
F1 0.0000 0.6596 0.8404  0.03
F2 0.2254 0.8844 0.6156  0.12
F3 0.2254 0.3844 0.8844  0.12
F4 0.5000 0.5000 0.5000  0.16
F5 0.2254 0.1156 0.3844  0.12
F6 0.7746 0.3844 0.8844  0.12
F7 0.0000 0.8404 0.3404  0.03
F8 0.5000 0.0000 0.0000  0.16
F9 0.2254 0.6156 0.1156  0.12
F10 0.7746 0.1156 0.3844  0.12
F11 0.7746 0.8844 0.6156  0.12
F12 0.7746 0.6156 0.1156  0.12
F13 0.0000 0.3404 0.1596  0.03
F14 0.0000 0.1596 0.6596  0.03
Cu1 0.0000 0.5000 0.0000  0.56
Cu2 0.0000 0.0000 0.5000  0.56

Summary:
- DOS(E_F): 24.3 states/eV per cell
- DFT total energy: -3.94 eV/atom
- Uncorrected formation energy: -2.111 eV/atom
- Volume: 17.92 Å³ per atom
- SG: P4/mbm (127)

---

First-principles (PBE) data for crystalline Eu2SeF at its relaxed geometry, as listed in Alexandria via LeMat-Bulk.

Lattice parameters (Å, degrees): 4.1238 4.1238 7.0270 72.94 72.94 60.00
Site moments in Bohr magnetons follow the coordinates.
Element x y z (fractional)
Eu1 0.2420 0.2420 0.2740  7.00
Eu2 0.7580 0.7580 0.7260  7.00
Se1 0.0000 0.0000 0.0000  -0.06
F1 0.5000 0.5000 0.5000  0.01

Summary:
- DOS(E_F): 1.4 states/eV per cell
- DFT total energy: -8.69 eV/atom
- Uncorrected formation energy: -2.211 eV/atom
- Volume: 24.34 Å³ per atom
- SG: R-3m (166)

---

First-principles (PBE) data for crystalline BaCd8GaAu2 at its relaxed geometry, as listed in Alexandria via LeMat-Bulk.

Lattice parameters (Å, degrees): 5.3373 5.3373 11.1376 90.92 90.92 69.18
Element x y z (fractional)
Au1 0.6732 0.6732 0.3249
Au2 0.3268 0.3268 0.6751
Cd1 0.3381 0.8365 0.7989
Cd2 0.8365 0.3381 0.7989
Cd3 0.6453 0.6453 0.5817
Cd4 0.6624 0.6624 0.0470
Cd5 0.1635 0.6619 0.2011
Cd6 0.6619 0.1635 0.2011
Cd7 0.3547 0.3547 0.4183
Cd8 0.3376 0.3376 0.9530
Ga1 0.0000 0.0000 0.0000
Ba1 0.0000 0.0000 0.5000

Summary:
- DOS(E_F): 3.7 states/eV per cell
- DFT total energy: -1.67 eV/atom
- Energy relative to the elements: -104 meV/atom
- Volume: 24.71 Å³ per atom
- SG: C2/m (12)

---

First-principles (PBE) data for crystalline TiInAg at its relaxed geometry, as listed in Alexandria via LeMat-Bulk.

Lattice parameters (Å, degrees): 5.1672 7.4494 3.0481 78.19 90.02 83.41
Site moments in Bohr magnetons follow the coordinates.
Element x y z (fractional)
In1 0.6694 0.5068 0.8905  -0.01
In2 0.3986 0.1467 0.0718  -0.01
Ti1 0.1688 0.4816 0.4031  0.64
Ti2 0.8994 0.1720 0.5592  0.64
Ag1 0.7980 0.8391 0.2253  0.01
Ag2 0.2699 0.8144 0.7371  0.01

Summary:
- DOS(E_F): 4.5 states/eV per cell
- DFT total energy: -4.53 eV/atom
- Energy relative to the elements: -37 meV/atom
- Volume: 19.01 Å³ per atom
- SG: P-1 (2)

---

First-principles (PBE) data for crystalline Ca2AsBr at its relaxed geometry, as listed in Alexandria via LeMat-Bulk.

Lattice parameters (Å, degrees): 3.7374 3.7374 7.7476 90.00 90.00 95.53
Element x y z (fractional)
As1 0.5000 0.5000 0.2500
Ca1 0.0000 0.0000 0.0454
Ca2 0.0000 0.0000 0.4546
Br1 0.5000 0.5000 0.7500

Summary:
- DOS(E_F): 0.3 states/eV per cell
- DFT total energy: -3.84 eV/atom
- Uncorrected formation energy: -1.254 eV/atom
- Volume: 26.93 Å³ per atom
- SG: Cmmm (65)

---

First-principles (PBE) data for crystalline ScPb2Br2 at its relaxed geometry, as listed in Alexandria via LeMat-Bulk.

Lattice parameters (Å, degrees): 11.7914 11.7914 11.7914 160.17 160.17 28.19
Site moments in Bohr magnetons follow the coordinates.
Element x y z (fractional)
Br1 0.4287 0.4287 0.0000  -0.02
Br2 0.5713 0.5713 0.0000  -0.02
Sc1 0.0000 0.0000 0.0000  0.83
Pb1 0.7500 0.2500 0.5000  0.00
Pb2 0.2500 0.7500 0.5000  0.00

Summary:
- DOS(E_F): 3.7 states/eV per cell
- DFT total energy: -3.60 eV/atom
- Uncorrected formation energy: -0.184 eV/atom
- Volume: 37.72 Å³ per atom
- SG: I4/mmm (139)

---

First-principles (PBE) data for crystalline CeTi2P2 at its relaxed geometry, as listed in Alexandria via LeMat-Bulk.

Lattice parameters (Å, degrees): 6.4658 6.4658 6.4081 113.87 113.87 101.39
Site moments in Bohr magnetons follow the coordinates.
Element x y z (fractional)
P1 0.1611 0.3389 0.7500  -0.02
P2 0.8389 0.6611 0.2500  -0.02
P3 0.5890 0.9110 0.7500  -0.02
P4 0.4110 0.0890 0.2500  -0.02
Ti1 0.5088 0.2587 0.0173  0.19
Ti2 0.7587 0.0088 0.5173  0.19
Ti3 0.2413 0.9912 0.4827  0.19
Ti4 0.4912 0.7413 0.9827  0.19
Ce1 0.1250 0.3750 0.2500  0.71
Ce2 0.8750 0.6250 0.7500  0.71

Summary:
- DOS(E_F): 16.1 states/eV per cell
- DFT total energy: -7.48 eV/atom
- Energy relative to the elements: -975 meV/atom
- Volume: 20.20 Å³ per atom
- SG: Fddd (70)

---

First-principles (PBE) data for crystalline Rb2BeIn at its relaxed geometry, as listed in Alexandria via LeMat-Bulk.

Lattice parameters (Å, degrees): 6.1507 6.1507 6.1507 60.00 60.00 60.00
Element x y z (fractional)
Be1 0.0000 0.0000 0.0000
Rb1 0.7500 0.7500 0.7500
Rb2 0.2500 0.2500 0.2500
In1 0.5000 0.5000 0.5000

Summary:
- DOS(E_F): 6.0 states/eV per cell
- DFT total energy: -1.36 eV/atom
- Energy relative to the elements: 742 meV/atom
- Volume: 41.13 Å³ per atom
- SG: Fm-3m (225)
- ΔE to the lowest computed polymorph: 421 meV/atom

---

First-principles (PBE) data for crystalline B2C at its relaxed geometry, as listed in Alexandria via LeMat-Bulk.

Lattice parameters (Å, degrees): 2.6761 4.9117 8.2027 88.90 90.00 90.00
Element x y z (fractional)
B1 0.0000 0.7413 0.6818
B2 0.0000 0.2821 0.5488
B3 0.5000 0.4993 0.8869
B4 0.0000 0.9833 0.3658
B5 0.0000 0.0040 0.8926
B6 0.5000 0.1450 0.6768
B7 0.5000 0.5278 0.3582
B8 0.0000 0.3160 0.3490
C1 0.0000 0.6741 0.8727
C2 0.5000 0.8261 0.4002
C3 0.5000 0.8257 0.5934
C4 0.5000 0.1753 0.8739

Summary:
- DOS(E_F): 1.5 states/eV per cell
- DFT total energy: -7.14 eV/atom
- Energy relative to the elements: 382 meV/atom
- Volume: 8.98 Å³ per atom
- SG: Pm (6)
- ΔE to the lowest computed polymorph: 197 meV/atom

---

First-principles (PBE) data for crystalline Ba2ClF8 at its relaxed geometry, as listed in Alexandria via LeMat-Bulk.

Lattice parameters (Å, degrees): 4.8535 5.2718 7.9192 109.43 107.84 90.00
Site moments in Bohr magnetons follow the coordinates.
Element x y z (fractional)
F1 0.2319 0.2318 0.4638  0.00
F2 0.4044 0.1412 0.8087  0.00
F3 0.0000 0.3071 0.0001  0.42
F4 0.4040 0.6682 0.8080  0.00
F5 0.0000 0.6929 0.9999  0.42
F6 0.5956 0.8588 0.1913  0.00
F7 0.7681 0.7682 0.5362  0.00
F8 0.5960 0.3318 0.1920  0.00
Cl1 0.5000 0.0000 0.0000  0.03
Ba1 0.8279 0.3279 0.6557  0.00
Ba2 0.1721 0.6721 0.3443  0.00

Summary:
- DFT total energy: -4.20 eV/atom
- Uncorrected formation energy: -2.320 eV/atom
- Volume: 16.43 Å³ per atom
- SG: Immm (71)

---

First-principles (PBE) data for crystalline TaAgPdPt at its relaxed geometry, as listed in Alexandria via LeMat-Bulk.

Lattice parameters (Å, degrees): 2.9081 2.9081 7.8744 90.00 90.00 90.00
Element x y z (fractional)
Ag1 0.0000 0.0000 0.6598
Ta1 0.0000 0.0000 0.1602
Pt1 0.5000 0.5000 0.9252
Pd1 0.5000 0.5000 0.4008

Summary:
- DOS(E_F): 3.9 states/eV per cell
- DFT total energy: -6.83 eV/atom
- Energy relative to the elements: -343 meV/atom
- Volume: 16.65 Å³ per atom
- SG: P4mm (99)
- ΔE to the lowest computed polymorph: 0 meV/atom

---

- Among the records above, which one has the lowest volume?
  B2C

---

- Look up the DFT total energy of the first one.
  -3.95 eV/atom

---

- Look up the volume of the eighth one.
  20.20 Å³ per atom